--- one ---
A plane-wave DFT calculation with GGA-PBE was carried out for a geometry-optimized P2IrPbCl structure.

```
data_P2IrPbCl
_chemical_formula_sum 'P2 Ir1 Pb1 Cl1'
_cell_length_a 4.432
_cell_length_b 4.432
_cell_length_c 9.243
_cell_angle_alpha 90.00
_cell_angle_beta 90.00
_cell_angle_gamma 90.00
_space_group_name_H-M_alt 'P 4/m m m'
_space_group_IT_number 123
_space_group_name_Hall '-P 4 2'
loop_
_atom_site_label
_atom_site_type_symbol
_atom_site_fract_x
_atom_site_fract_y
_atom_site_fract_z
P1 P 0.000 0.500 0.000
Ir1 Ir 0.000 0.000 0.000
Pb1 Pb 0.500 0.500 0.500
Cl1 Cl 0.000 0.000 0.500
```

Calculated values
Magnetic moment = 0.00 μB per cell
Crystal system = tetragonal

--- two ---
A plane-wave DFT calculation with GGA-PBE was carried out for a geometry-optimized P2IrPbCl structure.

```
data_P2IrPbCl
_chemical_formula_sum 'P2 Ir1 Pb1 Cl1'
_cell_length_a 5.184
_cell_length_b 5.184
_cell_length_c 5.088
_cell_angle_alpha 90.00
_cell_angle_beta 90.00
_cell_angle_gamma 90.00
_space_group_name_H-M_alt 'P 4/m m m'
_space_group_IT_number 123
_space_group_name_Hall '-P 4 2'
loop_
_atom_site_label
_atom_site_type_symbol
_atom_site_fract_x
_atom_site_fract_y
_atom_site_fract_z
P1 P 0.000 0.500 0.000
Ir1 Ir 0.000 0.000 0.500
Pb1 Pb 0.500 0.500 0.000
Cl1 Cl 0.500 0.500 0.500
```

Calculated values
Magnetic moment = 1.17 μB per cell
Crystal system = tetragonal

Which of them is the most stable, and which is the least stable? one and two, in that order.

--- one ---
A plane-wave DFT calculation with GGA-PBE was carried out for a geometry-optimized PIrPbCl2 structure.

```
data_PIrPbCl2
_chemical_formula_sum 'P1 Ir1 Pb1 Cl2'
_cell_length_a 5.250
_cell_length_b 5.250
_cell_length_c 5.602
_cell_angle_alpha 90.00
_cell_angle_beta 90.00
_cell_angle_gamma 90.00
_space_group_name_H-M_alt 'P 4/m m m'
_space_group_IT_number 123
_space_group_name_Hall '-P 4 2'
loop_
_atom_site_label
_atom_site_type_symbol
_atom_site_fract_x
_atom_site_fract_y
_atom_site_fract_z
P1 P 0.000 0.000 0.000
Ir1 Ir 0.500 0.500 0.000
Pb1 Pb 0.000 0.000 0.500
Cl1 Cl 0.000 0.500 0.500
```

Calculated values
Magnetic moment = 1.28 μB per cell
Crystal system = tetragonal

--- two ---
A plane-wave DFT calculation with GGA-PBE was carried out for a geometry-optimized PIrPbCl2 structure.

```
data_PIrPbCl2
_chemical_formula_sum 'P1 Ir1 Pb1 Cl2'
_cell_length_a 5.313
_cell_length_b 5.313
_cell_length_c 4.498
_cell_angle_alpha 90.00
_cell_angle_beta 90.00
_cell_angle_gamma 90.00
_space_group_name_H-M_alt 'P 4/m m m'
_space_group_IT_number 123
_space_group_name_Hall '-P 4 2'
loop_
_atom_site_label
_atom_site_type_symbol
_atom_site_fract_x
_atom_site_fract_y
_atom_site_fract_z
P1 P 0.000 0.000 0.000
Ir1 Ir 0.000 0.000 0.500
Pb1 Pb 0.500 0.500 0.000
Cl1 Cl 0.000 0.500 0.500
```

Calculated values
Magnetic moment = 0.00 μB per cell
Crystal system = tetragonal

Which of them is the most stable, and which is the least stable? two and one, in that order.

--- one ---
A plane-wave DFT calculation with GGA-PBE was carried out for a geometry-optimized PIrPdCl2 structure.

```
data_PIrPdCl2
_chemical_formula_sum 'P1 Ir1 Pd1 Cl2'
_cell_length_a 4.946
_cell_length_b 4.946
_cell_length_c 4.452
_cell_angle_alpha 90.00
_cell_angle_beta 90.00
_cell_angle_gamma 90.00
_space_group_name_H-M_alt 'P 4/m m m'
_space_group_IT_number 123
_space_group_name_Hall '-P 4 2'
loop_
_atom_site_label
_atom_site_type_symbol
_atom_site_fract_x
_atom_site_fract_y
_atom_site_fract_z
P1 P 0.000 0.000 0.000
Ir1 Ir 0.000 0.000 0.500
Pd1 Pd 0.500 0.500 0.000
Cl1 Cl 0.000 0.500 0.500
```

Calculated values
Magnetic moment = 0.00 μB per cell
Crystal system = tetragonal

--- two ---
A plane-wave DFT calculation with GGA-PBE was carried out for a geometry-optimized PIrPdCl2 structure.

```
data_PIrPdCl2
_chemical_formula_sum 'P1 Ir1 Pd1 Cl2'
_cell_length_a 4.707
_cell_length_b 4.707
_cell_length_c 4.782
_cell_angle_alpha 90.00
_cell_angle_beta 90.00
_cell_angle_gamma 90.00
_space_group_name_H-M_alt 'P 4/m m m'
_space_group_IT_number 123
_space_group_name_Hall '-P 4 2'
loop_
_atom_site_label
_atom_site_type_symbol
_atom_site_fract_x
_atom_site_fract_y
_atom_site_fract_z
P1 P 0.000 0.000 0.000
Ir1 Ir 0.500 0.500 0.000
Pd1 Pd 0.000 0.000 0.500
Cl1 Cl 0.000 0.500 0.500
```

Calculated values
Magnetic moment = 2.27 μB per cell
Crystal system = tetragonal

Which of them is the most stable, and which is the least stable? one and two, in that order.

--- one ---
A plane-wave DFT calculation with GGA-PBE was carried out for a geometry-optimized P2IrPdCl structure.

```
data_P2IrPdCl
_chemical_formula_sum 'P2 Ir1 Pd1 Cl1'
_cell_length_a 4.608
_cell_length_b 4.608
_cell_length_c 4.656
_cell_angle_alpha 90.00
_cell_angle_beta 90.00
_cell_angle_gamma 90.00
_space_group_name_H-M_alt 'P 4/m m m'
_space_group_IT_number 123
_space_group_name_Hall '-P 4 2'
loop_
_atom_site_label
_atom_site_type_symbol
_atom_site_fract_x
_atom_site_fract_y
_atom_site_fract_z
P1 P 0.000 0.500 0.000
Ir1 Ir 0.000 0.000 0.500
Pd1 Pd 0.500 0.500 0.000
Cl1 Cl 0.500 0.500 0.500
```

Calculated values
Magnetic moment = 1.02 μB per cell
Crystal system = tetragonal

--- two ---
A plane-wave DFT calculation with GGA-PBE was carried out for a geometry-optimized P2IrPdCl structure.

```
data_P2IrPdCl
_chemical_formula_sum 'P2 Ir1 Pd1 Cl1'
_cell_length_a 4.519
_cell_length_b 4.519
_cell_length_c 5.087
_cell_angle_alpha 90.00
_cell_angle_beta 90.00
_cell_angle_gamma 90.00
_space_group_name_H-M_alt 'P 4/m m m'
_space_group_IT_number 123
_space_group_name_Hall '-P 4 2'
loop_
_atom_site_label
_atom_site_type_symbol
_atom_site_fract_x
_atom_site_fract_y
_atom_site_fract_z
P1 P 0.000 0.500 0.000
Ir1 Ir 0.000 0.000 0.000
Pd1 Pd 0.500 0.500 0.500
Cl1 Cl 0.000 0.000 0.500
```

Calculated values
Magnetic moment = 0.00 μB per cell
Crystal system = tetragonal

Which of them is the most stable, and which is the least stable? two and one, in that order.